Nd6Si2NCl3 | the Alexandria database | GGA-PBE | relaxed; density of states at the Fermi level = 0.43 states/eV per atom; crystal system = monoclinic; energy = -68.5 eV per cell; E_form (uncorrected) = -1.263 eV/atom
1.0
3.5044 -6.0620 0.0000
3.5044 6.0620 0.0000
-2.3356 0.0000 7.1367
Nd Si N Cl
6 2 1 3
Cartesian
1.0691 1.8518 1.4722 Nd
-0.2076 0.0000 5.6644 Nd
1.0691 -1.8518 1.4722 Nd
3.6040 1.8518 5.6645 Nd
4.8807 0.0000 1.4723 Nd
3.6040 -1.8518 5.6645 Nd
3.5044 2.0158 0.0000 Si
3.5044 -2.0158 0.0000 Si
0.0000 0.0000 0.0000 N
2.3366 3.9813 3.5684 Cl
2.3366 0.0000 3.5684 Cl
2.3366 -3.9813 3.5684 Cl

=====

Hf2MnNi | the Alexandria database | GGA-PBE | relaxed; DFT formation energy = 50 kJ per mole of atoms; density of states at the Fermi level = 0.49 states/eV per atom; crystal system = tetragonal; energy = -65.6 eV per cell
1.0
-2.0373 2.0373 8.9167
2.0373 -2.0373 8.9167
2.0373 2.0373 -8.9167
Hf Mn Ni
4 2 2
Cartesian
3.0560 1.0120 -2.2292 Hf
1.0120 1.0187 2.2292 Hf
-1.0187 1.0254 6.6875 Hf
1.0254 1.0187 11.1458 Hf
2.0373 0.0000 4.4583 Mn
0.0000 0.0000 8.9167 Mn
0.0000 0.0000 0.0000 Ni
0.0000 2.0373 4.4583 Ni

=====

Li5In2SnAu2 | the Alexandria database | GGA-PBE | relaxed; DFT formation energy = -33 kJ per mole of atoms; density of states at the Fermi level = 0.36 states/eV per atom; crystal system = tetragonal; energy = -58.0 eV per cell
1.0
10.5553 0.0000 0.0000
0.0000 10.5553 0.0000
0.0000 0.0000 3.4509
Li In Sn Au
10 4 2 4
Cartesian
0.0000 5.2776 0.0000 Li
0.7469 2.0942 0.0000 Li
2.0942 9.8084 0.0000 Li
3.1835 4.5308 0.0000 Li
4.5308 7.3718 0.0000 Li
5.2776 0.0000 0.0000 Li
6.0245 3.1835 0.0000 Li
7.3718 6.0245 0.0000 Li
8.4611 0.7469 0.0000 Li
9.8084 8.4611 0.0000 Li
1.7952 7.0728 1.7254 In
3.4824 1.7952 1.7254 In
7.0728 8.7601 1.7254 In
8.7601 3.4824 1.7254 In
0.0000 0.0000 1.7254 Sn
5.2776 5.2776 1.7254 Sn
1.3700 3.9077 1.7254 Au
3.9077 9.1853 1.7254 Au
6.6476 1.3700 1.7254 Au
9.1853 6.6476 1.7254 Au

=====

HfZn2Au2 | the Alexandria database | GGA-PBE | relaxed; DFT formation energy = -15 kJ per mole of atoms; density of states at the Fermi level = 0.38 states/eV per atom; crystal system = tetragonal; energy = -39.7 eV per cell
1.0
7.6688 0.0000 0.0000
0.0000 7.6688 0.0000
0.0000 0.0000 2.9830
Hf Zn Au
2 4 4
Cartesian
0.0000 0.0000 0.0000 Hf
3.8344 3.8344 0.0000 Hf
1.2562 2.5782 1.4915 Zn
2.5782 6.4126 1.4915 Zn
5.0906 1.2562 1.4915 Zn
6.4126 5.0906 1.4915 Zn
1.0371 4.8715 0.0000 Au
2.7973 1.0371 0.0000 Au
4.8715 6.6317 0.0000 Au
6.6317 2.7973 0.0000 Au

=====

Na3CeHo3Te8 | the Alexandria database | GGA-PBE | relaxed; crystal system = trigonal; energy = -67.8 eV per cell; E_form (uncorrected) = -1.271 eV/atom
1.0
4.4070 2.5444 7.5767
-4.4070 2.5444 7.5767
0.0000 -5.0888 7.5767
Na Ce Ho Te
3 1 3 8
Cartesian
-2.2035 -1.2722 7.5767 Na
-2.2035 1.2722 15.1534 Na
0.0000 2.5444 7.5767 Na
0.0000 0.0000 11.3651 Ce
-4.4070 0.0000 11.3651 Ho
-2.2035 1.2722 3.7884 Ho
2.2035 1.2722 3.7884 Ho
-2.2306 -1.2879 13.1134 Te
0.0000 0.0000 5.5440 Te
0.0000 -2.5757 9.6168 Te
-2.2306 1.2879 9.6168 Te
2.2306 -1.2879 13.1134 Te
0.0000 2.5757 13.1134 Te
0.0000 0.0000 17.1862 Te
2.2306 1.2879 9.6167 Te

=====

Tb4InHg2Pd | the Alexandria database | GGA-PBE | relaxed; DFT formation energy = -55 kJ per mole of atoms; density of states at the Fermi level = 0.52 states/eV per atom; crystal system = trigonal; energy = -31.6 eV per cell
1.0
2.6143 1.5093 8.4954
-2.6143 1.5093 8.4954
0.0000 -3.0187 8.4954
Tb In Hg Pd
4 1 2 1
Cartesian
0.0000 0.0000 2.9916 Tb
0.0000 0.0000 9.4170 Tb
0.0000 0.0000 16.0691 Tb
0.0000 0.0000 22.4945 Tb
0.0000 0.0000 12.7430 In
0.0000 0.0000 6.2141 Hg
0.0000 0.0000 19.2719 Hg
0.0000 0.0000 0.0000 Pd

=====

Li2Dy2PaSe6 | the Alexandria database | GGA-PBE | relaxed; density of states at the Fermi level = 0.31 states/eV per atom; crystal system = monoclinic; energy = -60.9 eV per cell; E_form (uncorrected) = -1.585 eV/atom
1.0
3.5597 -6.1382 0.0000
3.5597 6.1382 0.0000
-2.3677 0.0000 6.5029
Li Dy Pa Se
2 2 1 6
Cartesian
3.5597 4.0672 0.0000 Li
3.5597 -4.0672 0.0000 Li
2.3759 2.0316 3.2515 Dy
2.3759 -2.0316 3.2515 Dy
-1.1838 0.0000 3.2515 Pa
-0.0227 2.0543 4.8730 Se
1.1443 0.0000 1.6296 Se
-0.0227 -2.0543 4.8730 Se
4.7744 2.0543 1.6300 Se
3.6075 0.0000 4.8734 Se
4.7744 -2.0543 1.6300 Se

=====

La2Dy12Ho5 | the Alexandria database | GGA-PBE | relaxed; DFT formation energy = 9 kJ per mole of atoms; density of states at the Fermi level = 1.49 states/eV per atom; crystal system = triclinic; energy = -86.3 eV per cell
1.0
6.7595 0.0000 0.0000
-1.6304 8.6374 0.0000
-0.5065 -4.2671 10.5535
La Dy Ho
2 12 5
Cartesian
0.3746 3.0050 0.7699 La
4.2479 1.3653 9.7836 La
-0.5837 5.6845 2.6303 Dy
-0.9765 4.7318 9.1411 Dy
-0.1490 2.0121 7.2211 Dy
1.1823 3.0354 4.3645 Dy
2.2417 0.2102 2.4576 Dy
1.7144 -0.6763 8.1538 Dy
2.9081 5.0466 2.3997 Dy
2.3808 4.1601 8.0959 Dy
3.4402 1.3348 6.1890 Dy
4.7715 2.3581 3.3323 Dy
5.5990 -0.3615 1.4124 Dy
5.2062 -1.3143 7.9232 Dy
-0.2101 -0.4178 4.8580 Ho
0.8737 2.1538 10.3889 Ho
3.1265 -2.1336 5.2767 Ho
3.7488 2.2165 0.1646 Ho
4.8326 4.7881 5.6954 Ho